Density functional theory data (SCAN) for a crystal of Li2Ag2Sn relaxed with PBEsol.

Values from the calculation:
**ΔH_f (0 K)**: -0.223 eV per atom
**Energy**: -20.9096 eV/atom

a = 7.4137 Å, b = 7.4137 Å, c = 3.1153 Å
α = 90.00°, β = 90.00°, γ = 90.00°
Sites, in units of the cell vectors:
Li: 0.1650 0.3350 0.0000
Li: 0.3350 0.8350 0.0000
Li: 0.6650 0.1650 0.0000
Li: 0.8350 0.6650 0.0000
Ag: 0.1315 0.6315 0.5000
Ag: 0.3685 0.1315 0.5000
Ag: 0.6315 0.8685 0.5000
Ag: 0.8685 0.3685 0.5000
Sn: 0.0000 0.0000 0.5000
Sn: 0.5000 0.5000 0.5000